Record 1
DFT (SCAN) results for a crystal of CrF5 relaxed with PBEsol.

Unit cell a=5.235 b=5.235 c=7.068 alpha=109.52 beta=109.52 gamma=63.63
Atoms (fractional coordinates):
Cr1 0.000 0.000 0.000
Cr2 0.000 0.000 0.500
F1 0.091 0.304 0.629
F2 0.121 0.879 0.750
F3 0.198 0.648 0.039
F4 0.304 0.091 0.129
F5 0.352 0.802 0.461
F6 0.648 0.198 0.539
F7 0.696 0.909 0.871
F8 0.802 0.352 0.961
F9 0.879 0.121 0.250
F10 0.909 0.696 0.371

Properties
Energy relative to the elements, uncorrected ... -52.54 kcal/mol of atoms
Space-group type ... C2/c (15)
Crystal system ... monoclinic

=====

Record 2
DFT (SCAN) results for a crystal of CrF5 relaxed with PBEsol.

Unit cell a=7.913 b=7.586 c=5.475 alpha=90.00 beta=90.00 gamma=90.00
Atoms (fractional coordinates):
Cr1 0.242 0.089 0.250
Cr2 0.242 0.411 0.750
Cr3 0.758 0.589 0.250
Cr4 0.758 0.911 0.750
F1 0.035 0.024 0.250
F2 0.035 0.476 0.750
F3 0.159 0.250 0.000
F4 0.159 0.250 0.500
F5 0.310 0.550 0.524
F6 0.310 0.550 0.976
F7 0.310 0.950 0.024
F8 0.310 0.950 0.476
F9 0.415 0.225 0.250
F10 0.415 0.275 0.750
F11 0.585 0.725 0.250
F12 0.585 0.775 0.750
F13 0.690 0.050 0.524
F14 0.690 0.050 0.976
F15 0.690 0.450 0.024
F16 0.690 0.450 0.476
F17 0.841 0.750 0.000
F18 0.841 0.750 0.500
F19 0.965 0.524 0.250
F20 0.965 0.976 0.750

Properties
Energy relative to the elements, uncorrected ... -53.94 kcal/mol of atoms
Space-group type ... Pbcm (57)
Crystal system ... orthorhombic

=====

Record 3
DFT (SCAN) results for a crystal of CrF5 relaxed with PBEsol.

Unit cell a=5.219 b=9.260 c=7.055 alpha=90.00 beta=112.23 gamma=90.00
Atoms (fractional coordinates):
Cr1 0.250 0.250 0.003
Cr2 0.250 0.250 0.503
Cr3 0.750 0.750 0.497
Cr4 0.750 0.750 0.997
F1 0.059 0.661 0.042
F2 0.059 0.839 0.542
F3 0.069 0.099 0.878
F4 0.069 0.401 0.378
F5 0.250 0.177 0.253
F6 0.250 0.323 0.753
F7 0.432 0.099 0.627
F8 0.432 0.401 0.127
F9 0.440 0.661 0.453
F10 0.440 0.839 0.953
F11 0.560 0.161 0.047
F12 0.560 0.339 0.547
F13 0.568 0.599 0.873
F14 0.568 0.901 0.373
F15 0.750 0.677 0.247
F16 0.750 0.823 0.747
F17 0.931 0.599 0.622
F18 0.931 0.901 0.122
F19 0.941 0.161 0.458
F20 0.941 0.339 0.958

Properties
Energy relative to the elements, uncorrected ... -52.58 kcal/mol of atoms
Space-group type ... P2_1/c (14)
Crystal system ... monoclinic